First-principles (PBE) data for crystalline La2CeRu at its relaxed geometry, as listed in Alexandria via LeMat-Bulk.

a = 7.215 Å, b = 10.165 Å, c = 6.527 Å
α = 90.00°, β = 90.00°, γ = 90.00°
Space group Pnma (No. 62)
Unique sites:
La: 0.165 0.066 0.173 (multiplicity 8)
Ce: 0.053 0.250 0.667 (multiplicity 4)
Ru: 0.145 0.750 0.997 (multiplicity 4)

Results
The value obtained for the spin magnetization is 0.20 μB per formula unit. The energy relative to the lowest polymorph listed for this composition comes out at 0 meV/atom. For the formation energy, the calculation gives -0.25 eV per atom.

First-principles (PBE) data for crystalline AcTcP2Rh at its relaxed geometry, as listed in Alexandria via LeMat-Bulk.

a = 4.078 Å, b = 4.078 Å, c = 11.492 Å
α = 90.00°, β = 90.00°, γ = 90.00°
Space group I-4m2 (No. 119)
Unique sites:
Ac: 0.000 0.000 0.000 (multiplicity 2)
Tc: 0.000 0.500 0.750 (multiplicity 2)
P: 0.000 0.000 0.354 (multiplicity 4)
Rh: 0.000 0.500 0.250 (multiplicity 2)

Results
The value obtained for the spin magnetization is 0.00 μB per formula unit. For the formation energy, the calculation gives -1.02 eV per atom.

First-principles (PBE) data for crystalline AlIn2SiC at its relaxed geometry, as listed in Alexandria via LeMat-Bulk.

a = 5.513 Å, b = 5.513 Å, c = 3.396 Å
α = 90.00°, β = 90.00°, γ = 90.00°
Space group P4/mmm (No. 123)
Unique sites:
Al: 0.000 0.000 0.000 (multiplicity 1)
In: 0.000 0.500 0.500 (multiplicity 2)
Si: 0.500 0.500 0.000 (multiplicity 1)
C: 0.500 0.500 0.500 (multiplicity 1)

Results
The value obtained for the spin magnetization is 0.00 μB per formula unit. As for the formation energy without anion corrections: 0.795 eV per atom.

First-principles (PBE) data for crystalline Np2Al2Si4Tc at its relaxed geometry, as listed in Alexandria via LeMat-Bulk.

a = 6.000 Å, b = 6.000 Å, c = 8.549 Å
α = 90.00°, β = 90.00°, γ = 90.00°
Space group I4/mmm (No. 139)
Unique sites:
Np: 0.000 0.500 0.250 (multiplicity 4)
Al: 0.000 0.000 0.214 (multiplicity 4)
Si: 0.216 0.216 0.000 (multiplicity 8)
Tc: 0.000 0.000 0.500 (multiplicity 2)

Results
The value obtained for the spin magnetization is 7.94 μB per formula unit. As for the formation energy without anion corrections: -0.318 eV per atom.

First-principles (PBE) data for crystalline TlGeC at its relaxed geometry, as listed in Alexandria via LeMat-Bulk.

a = 4.101 Å, b = 6.227 Å, c = 6.470 Å
α = 63.27°, β = 72.13°, γ = 71.36°
Space group P-1 (No. 2)
Unique sites:
Tl: 0.134 0.214 0.029 (multiplicity 2)
Ge: 0.319 0.468 0.389 (multiplicity 2)
C: 0.449 0.111 0.488 (multiplicity 2)

Results
The value obtained for the spin magnetization is 0.00 μB per formula unit. The energy relative to the lowest polymorph listed for this composition comes out at 28 meV/atom. For the formation energy, the calculation gives 0.55 eV per atom.

First-principles (PBE) data for crystalline Bi2Pd4S at its relaxed geometry, as listed in Alexandria via LeMat-Bulk.

a = 4.451 Å, b = 4.451 Å, c = 15.344 Å
α = 90.00°, β = 90.00°, γ = 90.00°
Space group I4/mmm (No. 139)
Unique sites:
Bi: 0.000 0.000 0.170 (multiplicity 4)
Pd: 0.000 0.000 0.349 (multiplicity 4)
Pd: 0.000 0.500 0.000 (multiplicity 4)
S: 0.000 0.000 0.500 (multiplicity 2)

Results
The value obtained for the spin magnetization is 0.00 μB per formula unit. As for the formation energy without anion corrections: -0.076 eV per atom.

First-principles (PBE) data for crystalline Er3Bi2Sb at its relaxed geometry, as listed in Alexandria via LeMat-Bulk.

a = 4.411 Å, b = 6.239 Å, c = 13.252 Å
α = 90.00°, β = 90.00°, γ = 90.00°
Space group Immm (No. 71)
Unique sites:
Er: 0.000 0.000 0.000 (multiplicity 2)
Er: 0.000 0.000 0.337 (multiplicity 4)
Bi: 0.000 0.500 0.332 (multiplicity 4)
Sb: 0.000 0.500 0.000 (multiplicity 2)

Results
The value obtained for the spin magnetization is 0.00 μB per formula unit. As for the formation energy without anion corrections: -0.905 eV per atom.

First-principles (PBE) data for crystalline ReTc at its relaxed geometry, as listed in Alexandria via LeMat-Bulk.

a = 4.3583 Å, b = 4.3583 Å, c = 11.0740 Å
α = 90.00°, β = 90.00°, γ = 120.00°
Space group P-3m1 (No. 164)
Unique sites:
Re: 0.0000 0.0000 0.1150 (multiplicity 2)
Re: 0.3333 0.6667 0.2001 (multiplicity 2)
Re: 0.3333 0.6667 0.4527 (multiplicity 2)
Tc: 0.0000 0.0000 0.3419 (multiplicity 2)
Tc: 0.3333 0.6667 0.6824 (multiplicity 2)
Tc: 0.3333 0.6667 0.9452 (multiplicity 2)

Results
The value obtained for the spin magnetization is 0.00 μB per formula unit. The energy relative to the lowest polymorph listed for this composition comes out at 236 meV/atom. For the formation energy, the calculation gives 0.23 eV per atom.

First-principles (PBE) data for crystalline Sc2ZnPt at its relaxed geometry, as listed in Alexandria via LeMat-Bulk.

a = 3.8064 Å, b = 3.8064 Å, c = 26.0533 Å
α = 90.00°, β = 90.00°, γ = 120.00°
Space group R-3m (No. 166, hexagonal axes)
Unique sites:
Sc: 0.0000 0.0000 0.1116 (multiplicity 6)
Zn: 0.0000 0.0000 0.0000 (multiplicity 3)
Pt: 0.0000 0.0000 0.5000 (multiplicity 3)

Results
The value obtained for the spin magnetization is 0.00 μB per formula unit. For the formation energy, the calculation gives -0.26 eV per atom.

First-principles (PBE) data for crystalline Sr2NdTaO6 at its relaxed geometry, as listed in Alexandria via LeMat-Bulk.

a = 5.908 Å, b = 6.061 Å, c = 10.274 Å
α = 90.00°, β = 124.79°, γ = 90.00°
Space group P2_1/c (No. 14)
Unique sites:
Sr: 0.240 0.044 0.252 (multiplicity 4)
Nd: 0.500 0.000 0.000 (multiplicity 2)
Ta: 0.000 0.000 0.500 (multiplicity 2)
O: 0.128 0.227 0.945 (multiplicity 4)
O: 0.227 0.687 0.953 (multiplicity 4)
O: 0.323 0.036 0.728 (multiplicity 4)

Results
The value obtained for the spin magnetization is 0.00 μB per formula unit. As for the formation energy without anion corrections: -3.099 eV per atom.

First-principles (PBE) data for crystalline RbTmNpO6 at its relaxed geometry, as listed in Alexandria via LeMat-Bulk.

a = 5.8161 Å, b = 5.8161 Å, c = 6.0621 Å
α = 90.00°, β = 90.00°, γ = 120.00°
Space group P312 (No. 149)
Unique sites:
Rb: 0.0000 0.0000 0.0000 (multiplicity 1)
Tm: 0.3333 0.6667 0.5000 (multiplicity 1)
Np: 0.6667 0.3333 0.5000 (multiplicity 1)
O: 0.3987 0.0290 0.6812 (multiplicity 6)

Results
The value obtained for the spin magnetization is 1.10 μB per formula unit. As for the formation energy without anion corrections: -2.509 eV per atom.

First-principles (PBE) data for crystalline Ni4Rh at its relaxed geometry, as listed in Alexandria via LeMat-Bulk.

a = 4.471 Å, b = 4.471 Å, c = 4.471 Å
α = 90.00°, β = 90.00°, γ = 90.00°
Space group Pm-3m (No. 221)
Unique sites:
Ni: 0.000 0.000 0.000 (multiplicity 1)
Ni: 0.000 0.500 0.500 (multiplicity 3)
Rh: 0.500 0.500 0.500 (multiplicity 1)

Results
The value obtained for the spin magnetization is 4.54 μB per formula unit. The energy relative to the lowest polymorph listed for this composition comes out at 1487 meV/atom. For the formation energy, the calculation gives 1.50 eV per atom.

First-principles (PBE) data for crystalline MgCuAs2Br at its relaxed geometry, as listed in Alexandria via LeMat-Bulk.

a = 4.615 Å, b = 4.615 Å, c = 5.677 Å
α = 90.00°, β = 90.00°, γ = 90.00°
Space group P4/mmm (No. 123)
Unique sites:
Mg: 0.000 0.000 0.000 (multiplicity 1)
Cu: 0.500 0.500 0.500 (multiplicity 1)
As: 0.000 0.500 0.500 (multiplicity 2)
Br: 0.500 0.500 0.000 (multiplicity 1)

Results
The value obtained for the spin magnetization is 1.04 μB per formula unit. The energy relative to the lowest polymorph listed for this composition comes out at 0 meV/atom. As for the formation energy without anion corrections: 0.308 eV per atom.

First-principles (PBE) data for crystalline KNpS2 at its relaxed geometry, as listed in Alexandria via LeMat-Bulk.

a = 4.0626 Å, b = 4.0626 Å, c = 22.5294 Å
α = 90.00°, β = 90.00°, γ = 120.00°
Space group R3m (No. 160, hexagonal axes)
Unique sites:
K: 0.0000 0.0000 0.0000 (multiplicity 3)
Np: 0.0000 0.0000 0.1703 (multiplicity 3)
S: 0.0000 0.0000 0.5697 (multiplicity 3)
S: 0.0000 0.0000 0.7705 (multiplicity 3)

Results
The value obtained for the spin magnetization is 4.00 μB per formula unit. As for the formation energy without anion corrections: -1.375 eV per atom.

First-principles (PBE) data for crystalline LaNi2Hg at its relaxed geometry, as listed in Alexandria via LeMat-Bulk.

a = 3.337 Å, b = 3.337 Å, c = 6.905 Å
α = 90.00°, β = 90.00°, γ = 90.00°
Space group P4mm (No. 99)
Unique sites:
La: 0.000 0.000 0.000 (multiplicity 1)
Ni: 0.000 0.000 0.390 (multiplicity 1)
Ni: 0.500 0.500 0.260 (multiplicity 1)
Hg: 0.500 0.500 0.640 (multiplicity 1)

Results
The value obtained for the spin magnetization is 0.03 μB per formula unit. For the formation energy, the calculation gives -0.04 eV per atom.

First-principles (PBE) data for crystalline CeDy2Au6 at its relaxed geometry, as listed in Alexandria via LeMat-Bulk.

a = 3.641 Å, b = 7.695 Å, c = 14.713 Å
α = 90.00°, β = 90.00°, γ = 90.00°
Space group Immm (No. 71)
Unique sites:
Ce: 0.000 0.000 0.000 (multiplicity 2)
Dy: 0.000 0.500 0.141 (multiplicity 4)
Au: 0.000 0.182 0.500 (multiplicity 4)
Au: 0.000 0.313 0.323 (multiplicity 8)

Results
The value obtained for the spin magnetization is 1.03 μB per formula unit. For the formation energy, the calculation gives -0.71 eV per atom.

First-principles (PBE) data for crystalline Pr5Bi2Se2 at its relaxed geometry, as listed in Alexandria via LeMat-Bulk.

a = 15.803 Å, b = 8.302 Å, c = 8.336 Å
α = 90.00°, β = 90.00°, γ = 90.00°
Space group Cmce (No. 64)
Unique sites:
Pr: 0.000 0.000 0.000 (multiplicity 4)
Pr: 0.126 0.158 0.341 (multiplicity 16)
Bi: 0.204 0.000 0.000 (multiplicity 8)
Se: 0.000 0.144 0.643 (multiplicity 8)

Results
The value obtained for the spin magnetization is 0.00 μB per formula unit. As for the formation energy without anion corrections: -1.145 eV per atom.

First-principles (PBE) data for crystalline LuBeAlPd at its relaxed geometry, as listed in Alexandria via LeMat-Bulk.

a = 6.384 Å, b = 6.384 Å, c = 6.384 Å
α = 90.00°, β = 90.00°, γ = 90.00°
Space group F-43m (No. 216)
Unique sites:
Lu: 0.000 0.000 0.000 (multiplicity 4)
Be: 0.250 0.250 0.750 (multiplicity 4)
Al: 0.000 0.000 0.500 (multiplicity 4)
Pd: 0.250 0.250 0.250 (multiplicity 4)

Results
The value obtained for the spin magnetization is 0.00 μB per formula unit. For the formation energy, the calculation gives -0.47 eV per atom.

First-principles (PBE) data for crystalline Tm3Rh2Au3 at its relaxed geometry, as listed in Alexandria via LeMat-Bulk.

a = 7.2342 Å, b = 7.2342 Å, c = 3.5863 Å
α = 90.00°, β = 90.00°, γ = 120.00°
Space group P-62m (No. 189)
Unique sites:
Tm: 0.0000 0.4059 0.0000 (multiplicity 3)
Rh: 0.3333 0.6667 0.5000 (multiplicity 2)
Au: 0.0000 0.7692 0.5000 (multiplicity 3)

Results
The value obtained for the spin magnetization is 0.00 μB per formula unit. For the formation energy, the calculation gives -0.88 eV per atom.

First-principles (PBE) data for crystalline Ce2AuI at its relaxed geometry, as listed in Alexandria via LeMat-Bulk.

a = 3.650 Å, b = 3.650 Å, c = 8.254 Å
α = 90.00°, β = 90.00°, γ = 90.00°
Space group P4/mmm (No. 123)
Unique sites:
Ce: 0.000 0.000 0.228 (multiplicity 2)
Au: 0.500 0.500 0.000 (multiplicity 1)
I: 0.500 0.500 0.500 (multiplicity 1)

Results
The value obtained for the spin magnetization is 2.76 μB per formula unit. The energy relative to the lowest polymorph listed for this composition comes out at 32 meV/atom. As for the formation energy without anion corrections: -0.640 eV per atom.